1.
Here is an optimized crystal structure of Sr3Ag3Sn8 from the Alexandria database. Energies are from PBE-GGA.

The calculation puts the total moment at 0.00 μB per formula unit. The density comes out at 6.59 g/cm3. The calculation puts the volume at 774.18 Å³/cell. As for the formation energy: -0.3368 eV per atom. Its density of states at the Fermi level is 7.54 states/eV per cell.

It has space group C2/m (No. 12), with a = 17.517 Å, b = 5.136 Å, c = 10.562 Å, α = 90.00°, β = 125.43° and γ = 90.00°. The asymmetric unit holds Sr at (0.000, 0.000, 0.000), Sr at (0.203, 0.500, 0.692), Ag at (0.000, 0.000, 0.500), Ag at (0.160, 0.500, 0.308), Sn at (0.001, 0.500, 0.681), Sn at (0.140, 0.000, 0.421), Sn at (0.149, 0.500, 0.031) and Sn at (0.150, 0.000, 0.869).

***

2.
Here is an optimized crystal structure of LaTmNi2H8 from the Alexandria database. Energies are from PBE-GGA.

The calculation puts the total moment at 0.00 μB per formula unit. The density comes out at 6.43 g/cm3. The calculation puts the volume at 335.86 Å³/cell. As for the electronic total energy: -154.32 eV for the cell shown. Its density of states at the Fermi level is 14.33 states/eV per cell.

It has space group R-3 (No. 148, hexagonal axes), with a = 4.4303 Å, b = 4.4303 Å, c = 19.7589 Å, α = 90.00°, β = 90.00° and γ = 120.00°. The asymmetric unit holds La at (0.0000, 0.0000, 0.0000), Tm at (0.0000, 0.0000, 0.5000), Ni at (0.0000, 0.0000, 0.2503), H at (0.0000, 0.0000, 0.3314) and H at (0.0410, 0.5186, 0.5537).

***

3.
Here is an optimized crystal structure of Li2TaSi from the Alexandria database. Energies are from PBE-GGA.

The calculation puts the total moment at 0.00 μB per formula unit. For the uncorrected formation energy, the calculation gives 0.03 eV/atom. The density comes out at 5.97 g/cm3. The calculation puts the volume at 62.04 Å³/cell. Its density of states at the Fermi level is 2.43 states/eV per cell.

It has space group P2/m (No. 10), with a = 2.761 Å, b = 4.872 Å, c = 4.615 Å, α = 90.00°, β = 92.13° and γ = 90.00°. The asymmetric unit holds Li at (0.153, 0.000, 0.246), Ta at (0.500, 0.500, 0.000) and Si at (0.000, 0.500, 0.500).

***

4.
Here is an optimized crystal structure of AsC2 from the Alexandria database. Energies are from PBE-GGA.

The calculation puts the total moment at 0.00 μB per formula unit. The density comes out at 3.00 g/cm3. The calculation puts the volume at 218.76 Å³/cell. As for the formation energy: 0.9277 eV per atom. Its density of states at the Fermi level is 1.10 states/eV per cell.

It has space group C2/m (No. 12), with a = 11.603 Å, b = 2.785 Å, c = 8.385 Å, α = 90.00°, β = 126.15° and γ = 90.00°. The asymmetric unit holds As at (0.211, 0.000, 0.196), C at (0.069, 0.500, 0.072) and C at (0.244, 0.000, 0.462).

***

5.
Here is an optimized crystal structure of BaTb4CeS8 from the Alexandria database. Energies are from PBE-GGA.

The calculation puts the total moment at 1.42 μB per formula unit. For the uncorrected formation energy, the calculation gives -1.95 eV/atom. The density comes out at 4.77 g/cm3. The calculation puts the volume at 1222.27 Å³/cell. Its density of states at the Fermi level is 30.21 states/eV per cell.

It has space group R3m (No. 160, hexagonal axes), with a = 8.2827 Å, b = 8.2827 Å, c = 20.5727 Å, α = 90.00°, β = 90.00° and γ = 120.00°. The asymmetric unit holds Ba at (0.0000, 0.0000, 0.0000), Tb at (0.0000, 0.0000, 0.2506), Tb at (0.1686, 0.3372, 0.4585), Ce at (0.0000, 0.0000, 0.6261), S at (0.0000, 0.0000, 0.3825), S at (0.0000, 0.0000, 0.8580), S at (0.0446, 0.5223, 0.3841) and S at (0.1732, 0.3463, 0.2038).

***

6.
Here is an optimized crystal structure of Ac5NdSm2Y from the Alexandria database. Energies are from PBE-GGA.

The calculation puts the total moment at 0.00 μB per formula unit. The density comes out at 7.54 g/cm3. The calculation puts the volume at 1470.75 Å³/cell. As for the formation energy: 0.1405 eV per atom. Its density of states at the Fermi level is 52.33 states/eV per cell.

It has space group Cmcm (No. 63), with a = 5.851 Å, b = 22.527 Å, c = 11.159 Å, α = 90.00°, β = 90.00° and γ = 90.00°. The asymmetric unit holds Ac at (0.000, 0.000, 0.000), Ac at (0.000, 0.129, 0.250), Ac at (0.000, 0.218, 0.563), Ac at (0.000, 0.498, 0.250), Nd at (0.000, 0.302, 0.250), Sm at (0.000, 0.387, 0.505) and Y at (0.000, 0.098, 0.750).